[1]
Computed, not measured: a geometry-optimized BSbTeI2 structure at the GGA-PBEsol level of DFT.

Calculated values
M_tot	0.000	μB/f.u.
Fermi-level density of states	2.0	states/eV/f.u.
energy relative to the elements, uncorrected	0.640	eV/atom

Cell: 4.927 4.927 5.068 Å, 90.00 90.00 90.00°
Space group P4/mmm (No. 123)
Symmetry-distinct sites (fractional):
B 0.000 0.000 0.000
Sb 0.500 0.500 0.500
Te 0.000 0.000 0.500
I 0.000 0.500 0.000

[2]
Computed, not measured: a geometry-optimized BSb2WI structure at the GGA-PBEsol level of DFT.

Calculated values
M_tot	0.817	μB/f.u.
Fermi-level density of states	4.9	states/eV/f.u.
energy relative to the elements, uncorrected	1.631	eV/atom

Cell: 5.112 5.112 5.706 Å, 90.00 90.00 90.00°
Space group P4/mmm (No. 123)
Symmetry-distinct sites (fractional):
B 0.000 0.000 0.000
Sb 0.000 0.500 0.500
W 0.500 0.500 0.500
I 0.500 0.500 0.000

[3]
Computed, not measured: a geometry-optimized YBSb2I structure at the GGA-PBEsol level of DFT.

Calculated values
M_tot	0.001	μB/f.u.
Fermi-level density of states	5.2	states/eV/f.u.
energy relative to the elements, uncorrected	1.120	eV/atom

Cell: 5.755 5.755 5.773 Å, 90.00 90.00 90.00°
Space group P4/mmm (No. 123)
Symmetry-distinct sites (fractional):
Y 0.000 0.000 0.000
B 0.500 0.500 0.500
Sb 0.000 0.500 0.000
I 0.000 0.000 0.500

[4]
Computed, not measured: a geometry-optimized ScBI3 structure at the GGA-PBEsol level of DFT.

Calculated values
M_tot	0.947	μB/f.u.
Fermi-level density of states	5.1	states/eV/f.u.
energy relative to the elements, uncorrected	0.401	eV/atom

Cell: 5.021 5.021 5.021 Å, 90.00 90.00 90.00°
Space group Pm-3m (No. 221)
Symmetry-distinct sites (fractional):
Sc 0.000 0.000 0.000
B 0.500 0.500 0.500
I 0.000 0.500 0.500

[5]
Computed, not measured: a geometry-optimized Sc3BI structure at the GGA-PBEsol level of DFT.

Calculated values
M_tot	0.000	μB/f.u.
Fermi-level density of states	5.4	states/eV/f.u.
energy relative to the elements, uncorrected	1.223	eV/atom

Cell: 5.130 5.130 5.130 Å, 90.00 90.00 90.00°
Space group Pm-3m (No. 221)
Symmetry-distinct sites (fractional):
Sc 0.000 0.000 0.500
B 0.500 0.500 0.500
I 0.000 0.000 0.000

[6]
Computed, not measured: a geometry-optimized ScBTe2I structure at the GGA-PBEsol level of DFT.

Calculated values
M_tot	0.000	μB/f.u.
Fermi-level density of states	2.4	states/eV/f.u.
energy relative to the elements, uncorrected	0.273	eV/atom

Cell: 4.862 4.862 4.950 Å, 90.00 90.00 90.00°
Space group P4/mmm (No. 123)
Symmetry-distinct sites (fractional):
Sc 0.000 0.000 0.000
B 0.500 0.500 0.500
Te 0.000 0.500 0.500
I 0.500 0.500 0.000